VASP calculation (GGA-PBE) on a relaxed structure of Ni2PtRh9.

Computed properties:
Spin magnetization: 4.292 μB/f.u.
DFT formation energy: 2.9 kJ per mole of atoms

Geometry as CIF:
```
data_Ni2PtRh9
_space_group_name_H-M_alt 'P 1'
_space_group_IT_number 1
_space_group_name_Hall 'P 1'
_cell_length_a 3.825
_cell_length_b 3.825
_cell_length_c 11.429
_cell_angle_alpha 90.00
_cell_angle_beta 90.00
_cell_angle_gamma 90.00
loop_
_atom_site_label
_atom_site_type_symbol
_atom_site_fract_x
_atom_site_fract_y
_atom_site_fract_z
Ni1 Ni 0.000 0.000 0.336
Ni2 Ni 0.000 0.000 0.664
Pt1 Pt 0.000 0.000 0.000
Rh1 Rh 0.500 0.500 0.000
Rh2 Rh 0.500 0.500 0.336
Rh3 Rh 0.500 0.500 0.664
Rh4 Rh 0.500 0.000 0.172
Rh5 Rh 0.500 0.000 0.500
Rh6 Rh 0.500 0.000 0.828
Rh7 Rh 0.000 0.500 0.172
Rh8 Rh 0.000 0.500 0.500
Rh9 Rh 0.000 0.500 0.828
```